(w)
The following is a DFT calculation (meta-GGA SCAN) of a crystal of BaY2Co relaxed with PBEsol.

## Properties
Crystal system   trigonal
D(E_F)   9.434 states/eV/cell

Structure (CIF):
```
data_BaY2Co
_chemical_formula_sum 'Ba3 Y6 Co3'
_cell_length_a 3.9206
_cell_length_b 3.9206
_cell_length_c 28.2178
_cell_angle_alpha 90.00
_cell_angle_beta 90.00
_cell_angle_gamma 120.00
_symmetry_space_group_name_H-M 'R -3 m'
_symmetry_Int_Tables_number 166
_symmetry_space_group_name_Hall '-R 3 2"'
loop_
_atom_site_label
_atom_site_type_symbol
_atom_site_fract_x
_atom_site_fract_y
_atom_site_fract_z
Ba1 Ba 0.0000 0.0000 0.0000
Y1 Y 0.0000 0.0000 0.2150
Co1 Co 0.0000 0.0000 0.5000
```


(x)
The following is a DFT calculation (meta-GGA SCAN) of a crystal of BaY2Co relaxed with PBEsol.

## Properties
Crystal system   tetragonal
D(E_F)   3.844 states/eV/cell

Structure (CIF):
```
data_BaY2Co
_chemical_formula_sum 'Ba1 Y2 Co1'
_cell_length_a 4.569
_cell_length_b 4.569
_cell_length_c 5.104
_cell_angle_alpha 90.00
_cell_angle_beta 90.00
_cell_angle_gamma 90.00
_symmetry_space_group_name_H-M 'P 4/m m m'
_symmetry_Int_Tables_number 123
_symmetry_space_group_name_Hall '-P 4 2'
loop_
_atom_site_label
_atom_site_type_symbol
_atom_site_fract_x
_atom_site_fract_y
_atom_site_fract_z
Ba1 Ba 0.000 0.000 0.000
Y1 Y 0.000 0.500 0.500
Co1 Co 0.500 0.500 0.000
```


(w) ends up most stable, edging out the next structure by 0.505 eV/atom.


(w)
The following is a DFT calculation (meta-GGA SCAN) of a crystal of BaYCo2 relaxed with PBEsol.

## Properties
Crystal system   cubic
D(E_F)   8.371 states/eV/cell

Structure (CIF):
```
data_BaYCo2
_chemical_formula_sum 'Ba4 Y4 Co8'
_cell_length_a 6.782
_cell_length_b 6.782
_cell_length_c 6.782
_cell_angle_alpha 90.00
_cell_angle_beta 90.00
_cell_angle_gamma 90.00
_symmetry_space_group_name_H-M 'F -4 3 m'
_symmetry_Int_Tables_number 216
_symmetry_space_group_name_Hall 'F -4 2 3'
loop_
_atom_site_label
_atom_site_type_symbol
_atom_site_fract_x
_atom_site_fract_y
_atom_site_fract_z
Ba1 Ba 0.000 0.000 0.000
Y1 Y 0.250 0.250 0.750
Co1 Co 0.000 0.000 0.500
Co2 Co 0.250 0.250 0.250
```


(x)
The following is a DFT calculation (meta-GGA SCAN) of a crystal of BaYCo2 relaxed with PBEsol.

## Properties
Crystal system   tetragonal
D(E_F)   5.209 states/eV/cell

Structure (CIF):
```
data_BaYCo2
_chemical_formula_sum 'Ba2 Y2 Co4'
_cell_length_a 3.986
_cell_length_b 3.986
_cell_length_c 10.259
_cell_angle_alpha 90.00
_cell_angle_beta 90.00
_cell_angle_gamma 90.00
_symmetry_space_group_name_H-M 'I -4 m 2'
_symmetry_Int_Tables_number 119
_symmetry_space_group_name_Hall 'I -4 -2'
loop_
_atom_site_label
_atom_site_type_symbol
_atom_site_fract_x
_atom_site_fract_y
_atom_site_fract_z
Ba1 Ba 0.000 0.000 0.000
Y1 Y 0.000 0.500 0.750
Co1 Co 0.000 0.000 0.500
Co2 Co 0.000 0.500 0.250
```


(w) ends up most stable, edging out the next structure by 0.037 eV/atom.


(w)
The following is a DFT calculation (meta-GGA SCAN) of a crystal of Ba2Cr relaxed with PBEsol.

## Properties
Crystal system   tetragonal
D(E_F)   14.289 states/eV/cell

Structure (CIF):
```
data_Ba2Cr
_chemical_formula_sum 'Ba8 Cr4'
_cell_length_a 8.563
_cell_length_b 8.563
_cell_length_c 6.788
_cell_angle_alpha 90.00
_cell_angle_beta 90.00
_cell_angle_gamma 90.00
_symmetry_space_group_name_H-M 'I 4/m c m'
_symmetry_Int_Tables_number 140
_symmetry_space_group_name_Hall '-I 4 2c'
loop_
_atom_site_label
_atom_site_type_symbol
_atom_site_fract_x
_atom_site_fract_y
_atom_site_fract_z
Ba1 Ba 0.169 0.331 0.000
Cr1 Cr 0.000 0.000 0.250
```


(x)
The following is a DFT calculation (meta-GGA SCAN) of a crystal of Ba2Cr relaxed with PBEsol.

## Properties
Crystal system   cubic
D(E_F)   10.646 states/eV/cell

Structure (CIF):
```
data_Ba2Cr
_chemical_formula_sum 'Ba8 Cr4'
_cell_length_a 8.208
_cell_length_b 8.208
_cell_length_c 8.208
_cell_angle_alpha 90.00
_cell_angle_beta 90.00
_cell_angle_gamma 90.00
_symmetry_space_group_name_H-M 'F m -3 m'
_symmetry_Int_Tables_number 225
_symmetry_space_group_name_Hall '-F 4 2 3'
loop_
_atom_site_label
_atom_site_type_symbol
_atom_site_fract_x
_atom_site_fract_y
_atom_site_fract_z
Ba1 Ba 0.250 0.250 0.250
Cr1 Cr 0.000 0.000 0.000
```


(w) ends up most stable, edging out the next structure by 0.038 eV/atom.


(w)
The following is a DFT calculation (meta-GGA SCAN) of a crystal of BaCr2 relaxed with PBEsol.

## Properties
Crystal system   tetragonal
D(E_F)   8.612 states/eV/cell

Structure (CIF):
```
data_BaCr2
_chemical_formula_sum 'Ba4 Cr8'
_cell_length_a 4.757
_cell_length_b 4.757
_cell_length_c 12.695
_cell_angle_alpha 90.00
_cell_angle_beta 90.00
_cell_angle_gamma 90.00
_symmetry_space_group_name_H-M 'I 41/a m d'
_symmetry_Int_Tables_number 141
loop_
_symmetry_equiv_pos_as_xyz
'x,y,z'
'-x,-y,-z'
'-y+1/4,x+3/4,z+1/4'
'y+1/4,-x+3/4,-z+1/4'
'-x+1/2,-y,z+1/2'
'x+1/2,y,-z+1/2'
'y+1/4,-x+1/4,z+3/4'
'-y+1/4,x+1/4,-z+3/4'
'x,-y,-z'
'-x,y,z'
'-y+1/4,-x+1/4,-z+3/4'
'y+1/4,x+1/4,z+3/4'
'-x+1/2,y,-z+1/2'
'x+1/2,-y,z+1/2'
'y+1/4,x+3/4,-z+1/4'
'-y+1/4,-x+3/4,z+1/4'
'x+1/2,y+1/2,z+1/2'
'-x+1/2,-y+1/2,-z+1/2'
'-y+3/4,x+1/4,z+3/4'
'y+3/4,-x+1/4,-z+3/4'
'-x,-y+1/2,z'
'x,y+1/2,-z'
'y+3/4,-x+3/4,z+1/4'
'-y+3/4,x+3/4,-z+1/4'
'x+1/2,-y+1/2,-z+1/2'
'-x+1/2,y+1/2,z+1/2'
'-y+3/4,-x+3/4,-z+1/4'
'y+3/4,x+3/4,z+1/4'
'-x,y+1/2,-z'
'x,-y+1/2,z'
'y+3/4,x+1/4,-z+3/4'
'-y+3/4,-x+1/4,z+3/4'
loop_
_atom_site_label
_atom_site_type_symbol
_atom_site_fract_x
_atom_site_fract_y
_atom_site_fract_z
Ba1 Ba 0.000 0.250 0.375
Cr1 Cr 0.000 0.250 0.804
```


(x)
The following is a DFT calculation (meta-GGA SCAN) of a crystal of BaCr2 relaxed with PBEsol.

## Properties
Crystal system   tetragonal
D(E_F)   6.667 states/eV/cell

Structure (CIF):
```
data_BaCr2
_chemical_formula_sum 'Ba2 Cr4'
_cell_length_a 3.115
_cell_length_b 3.115
_cell_length_c 12.267
_cell_angle_alpha 90.00
_cell_angle_beta 90.00
_cell_angle_gamma 90.00
_symmetry_space_group_name_H-M 'I 4/m m m'
_symmetry_Int_Tables_number 139
_symmetry_space_group_name_Hall '-I 4 2'
loop_
_atom_site_label
_atom_site_type_symbol
_atom_site_fract_x
_atom_site_fract_y
_atom_site_fract_z
Ba1 Ba 0.000 0.000 0.000
Cr1 Cr 0.000 0.000 0.277
```


(x) ends up most stable, edging out the next structure by 0.292 eV/atom.


(w)
The following is a DFT calculation (meta-GGA SCAN) of a crystal of BaCrIr2 relaxed with PBEsol.

## Properties
Crystal system   tetragonal
D(E_F)   2.390 states/eV/cell

Structure (CIF):
```
data_BaCrIr2
_chemical_formula_sum 'Ba1 Cr1 Ir2'
_cell_length_a 4.270
_cell_length_b 4.270
_cell_length_c 4.133
_cell_angle_alpha 90.00
_cell_angle_beta 90.00
_cell_angle_gamma 90.00
_symmetry_space_group_name_H-M 'P 4/m m m'
_symmetry_Int_Tables_number 123
_symmetry_space_group_name_Hall '-P 4 2'
loop_
_atom_site_label
_atom_site_type_symbol
_atom_site_fract_x
_atom_site_fract_y
_atom_site_fract_z
Ba1 Ba 0.000 0.000 0.000
Cr1 Cr 0.500 0.500 0.000
Ir1 Ir 0.000 0.500 0.500
```


(x)
The following is a DFT calculation (meta-GGA SCAN) of a crystal of BaCrIr2 relaxed with PBEsol.

## Properties
Crystal system   tetragonal
D(E_F)   6.676 states/eV/cell

Structure (CIF):
```
data_BaCrIr2
_chemical_formula_sum 'Ba2 Cr2 Ir4'
_cell_length_a 4.330
_cell_length_b 4.330
_cell_length_c 7.947
_cell_angle_alpha 90.00
_cell_angle_beta 90.00
_cell_angle_gamma 90.00
_symmetry_space_group_name_H-M 'I -4 m 2'
_symmetry_Int_Tables_number 119
_symmetry_space_group_name_Hall 'I -4 -2'
loop_
_atom_site_label
_atom_site_type_symbol
_atom_site_fract_x
_atom_site_fract_y
_atom_site_fract_z
Ba1 Ba 0.000 0.000 0.000
Cr1 Cr 0.000 0.500 0.250
Ir1 Ir 0.000 0.000 0.500
Ir2 Ir 0.000 0.500 0.750
```


(w) ends up most stable, edging out the next structure by 0.098 eV/atom.


(w)
The following is a DFT calculation (meta-GGA SCAN) of a crystal of Ba2LaCr relaxed with PBEsol.

## Properties
Crystal system   orthorhombic
D(E_F)   8.249 states/eV/cell

Structure (CIF):
```
data_Ba2LaCr
_chemical_formula_sum 'Ba4 La2 Cr2'
_cell_length_a 3.989
_cell_length_b 6.156
_cell_length_c 12.395
_cell_angle_alpha 90.00
_cell_angle_beta 90.00
_cell_angle_gamma 90.00
_symmetry_space_group_name_H-M 'I m m 2'
_symmetry_Int_Tables_number 44
loop_
_symmetry_equiv_pos_as_xyz
'x,y,z'
'-x,-y,z'
'-x,y,z'
'x,-y,z'
'x+1/2,y+1/2,z+1/2'
'-x+1/2,-y+1/2,z+1/2'
'-x+1/2,y+1/2,z+1/2'
'x+1/2,-y+1/2,z+1/2'
loop_
_atom_site_label
_atom_site_type_symbol
_atom_site_fract_x
_atom_site_fract_y
_atom_site_fract_z
Ba1 Ba 0.000 0.000 0.000
Ba2 Ba 0.000 0.500 0.204
La1 La 0.000 0.000 0.406
Cr1 Cr 0.000 0.500 0.727
```


(x)
The following is a DFT calculation (meta-GGA SCAN) of a crystal of Ba2LaCr relaxed with PBEsol.

## Properties
Crystal system   tetragonal
D(E_F)   4.507 states/eV/cell

Structure (CIF):
```
data_Ba2LaCr
_chemical_formula_sum 'Ba2 La1 Cr1'
_cell_length_a 3.946
_cell_length_b 3.946
_cell_length_c 9.851
_cell_angle_alpha 90.00
_cell_angle_beta 90.00
_cell_angle_gamma 90.00
_symmetry_space_group_name_H-M 'P 4/m m m'
_symmetry_Int_Tables_number 123
_symmetry_space_group_name_Hall '-P 4 2'
loop_
_atom_site_label
_atom_site_type_symbol
_atom_site_fract_x
_atom_site_fract_y
_atom_site_fract_z
Ba1 Ba 0.000 0.000 0.208
La1 La 0.500 0.500 0.500
Cr1 Cr 0.500 0.500 0.000
```


(y)
The following is a DFT calculation (meta-GGA SCAN) of a crystal of Ba2LaCr relaxed with PBEsol.

## Properties
Crystal system   cubic
D(E_F)   17.318 states/eV/cell

Structure (CIF):
```
data_Ba2LaCr
_chemical_formula_sum 'Ba8 La4 Cr4'
_cell_length_a 8.341
_cell_length_b 8.341
_cell_length_c 8.341
_cell_angle_alpha 90.00
_cell_angle_beta 90.00
_cell_angle_gamma 90.00
_symmetry_space_group_name_H-M 'F m -3 m'
_symmetry_Int_Tables_number 225
_symmetry_space_group_name_Hall '-F 4 2 3'
loop_
_atom_site_label
_atom_site_type_symbol
_atom_site_fract_x
_atom_site_fract_y
_atom_site_fract_z
Ba1 Ba 0.250 0.250 0.250
La1 La 0.000 0.000 0.000
Cr1 Cr 0.000 0.000 0.500
```


(w) ends up most stable, edging out the next structure by 0.071 eV/atom.


(w)
The following is a DFT calculation (meta-GGA SCAN) of a crystal of BaLiCr2 relaxed with PBEsol.

## Properties
Crystal system   tetragonal
D(E_F)   2.964 states/eV/cell

Structure (CIF):
```
data_BaLiCr2
_chemical_formula_sum 'Ba1 Li1 Cr2'
_cell_length_a 3.183
_cell_length_b 3.183
_cell_length_c 8.342
_cell_angle_alpha 90.00
_cell_angle_beta 90.00
_cell_angle_gamma 90.00
_symmetry_space_group_name_H-M 'P 4 m m'
_symmetry_Int_Tables_number 99
loop_
_symmetry_equiv_pos_as_xyz
'x,y,z'
'-y,x,z'
'-x,-y,z'
'y,-x,z'
'-x,y,z'
'y,x,z'
'x,-y,z'
'-y,-x,z'
loop_
_atom_site_label
_atom_site_type_symbol
_atom_site_fract_x
_atom_site_fract_y
_atom_site_fract_z
Ba1 Ba 0.000 0.000 0.000
Li1 Li 0.500 0.500 0.641
Cr1 Cr 0.000 0.000 0.421
Cr2 Cr 0.500 0.500 0.318
```


(x)
The following is a DFT calculation (meta-GGA SCAN) of a crystal of BaLiCr2 relaxed with PBEsol.

## Properties
Crystal system   trigonal
D(E_F)   7.729 states/eV/cell

Structure (CIF):
```
data_BaLiCr2
_chemical_formula_sum 'Ba3 Li3 Cr6'
_cell_length_a 3.2940
_cell_length_b 3.2940
_cell_length_c 30.4915
_cell_angle_alpha 90.00
_cell_angle_beta 90.00
_cell_angle_gamma 120.00
_symmetry_space_group_name_H-M 'R -3 m'
_symmetry_Int_Tables_number 166
_symmetry_space_group_name_Hall '-R 3 2"'
loop_
_atom_site_label
_atom_site_type_symbol
_atom_site_fract_x
_atom_site_fract_y
_atom_site_fract_z
Ba1 Ba 0.0000 0.0000 0.0000
Li1 Li 0.0000 0.0000 0.5000
Cr1 Cr 0.0000 0.0000 0.2391
```


(w) ends up most stable, edging out the next structure by 0.367 eV/atom.